A relaxed structure of HgPt, computed with GGA-PBE.

Values from the calculation:
The value obtained for the total DFT energy (no corrections) is -5.7 eV per formula unit. Its total magnetization is 0.00 μB/atom. The density of states at the Fermi level is 4.8 states/eV/cell. Its volume is 158 Å³/cell.

Cell: 4.7395 4.7395 8.1349 Å, 90.00 90.00 120.00°
Space group P6_3/mmc (No. 194)
Symmetry-distinct sites (fractional):
1 Hg 0.0000 0.0000 0.2500 x2
2 Hg 0.3333 0.6667 0.2500 x2
3 Pt 0.3333 0.6667 0.5844 x4


A relaxed structure of Hg3Pt, computed with GGA-PBE.

Values from the calculation:
Its total magnetization is 0.00 μB/atom. The density of states at the Fermi level is 1.4 states/eV/cell. Its volume is 86 Å³/cell. Its excess energy over the best structure of this formula in the dataset is 134 meV per atom.

Cell: 3.065 3.065 9.129 Å, 90.00 90.00 90.00°
Space group P4/mmm (No. 123)
Symmetry-distinct sites (fractional):
1 Hg 0.000 0.000 0.000 x1
2 Hg 0.500 0.500 0.284 x2
3 Pt 0.000 0.000 0.500 x1


A relaxed structure of HgPt5, computed with GGA-PBE.

Values from the calculation:
The value obtained for the total DFT energy (no corrections) is -30.4 eV per formula unit. Its total magnetization is 0.00 μB/atom. The density of states at the Fermi level is 8.6 states/eV/cell. Its volume is 99 Å³/cell.

Cell: 2.851 2.851 12.151 Å, 90.00 90.00 90.00°
Space group P4/mmm (No. 123)
Symmetry-distinct sites (fractional):
1 Hg 0.000 0.000 0.000 x1
2 Pt 0.000 0.000 0.340 x2
3 Pt 0.500 0.500 0.178 x2
4 Pt 0.500 0.500 0.500 x1


A relaxed structure of Hg5Pt, computed with GGA-PBE.

Values from the calculation:
Its total magnetization is 0.00 μB/atom. The density of states at the Fermi level is 1.9 states/eV/cell. Its volume is 139 Å³/cell. Its excess energy over the best structure of this formula in the dataset is 52 meV per atom.

Cell: 3.100 3.100 14.445 Å, 90.00 90.00 90.00°
Space group P4/mmm (No. 123)
Symmetry-distinct sites (fractional):
1 Hg 0.000 0.000 0.000 x1
2 Hg 0.000 0.000 0.366 x2
3 Hg 0.500 0.500 0.186 x2
4 Pt 0.500 0.500 0.500 x1